NaDyPu2S4 | the Alexandria database | GGA-PBE | optimized geometry; calculated density = 7.49 g/cm3
1.0
6.850 0.000 0.000
0.000 3.973 0.000
-2.345 0.000 6.529
Na Dy Pu S
1 1 2 4
Direct
0.000 0.000 0.000
0.000 0.500 0.500
0.500 0.000 0.500
0.500 0.500 0.000
0.248 0.000 0.747
0.252 0.500 0.259
0.748 0.500 0.741
0.752 0.000 0.253


Na3DyPu2S6 | the Alexandria database | GGA-PBE | optimized geometry; calculated density = 5.42 g/cm3
1.0
3.484 -6.035 0.000
3.484 6.035 0.000
-2.323 0.000 6.643
Na Dy Pu S
3 1 2 6
Direct
0.000 0.000 0.000
0.333 0.667 0.000
0.667 0.333 0.000
0.500 0.500 0.500
0.167 0.833 0.500
0.833 0.167 0.500
0.092 0.424 0.273
0.244 0.244 0.727
0.424 0.092 0.273
0.576 0.908 0.727
0.756 0.756 0.273
0.908 0.576 0.727


Na3Dy3PuS8 | the Alexandria database | GGA-PBE | optimized geometry; calculated density = 4.75 g/cm3
1.0
3.987 2.302 6.710
-3.987 2.302 6.710
0.000 -4.603 6.710
Na Dy Pu S
3 3 1 8
Direct
0.000 0.500 0.500
0.500 0.000 0.500
0.500 0.500 0.000
0.000 0.000 0.500
0.000 0.500 0.000
0.500 0.000 0.000
0.500 0.500 0.500
0.242 0.242 0.242
0.246 0.737 0.737
0.263 0.263 0.754
0.263 0.754 0.263
0.737 0.246 0.737
0.737 0.737 0.246
0.754 0.263 0.263
0.758 0.758 0.758


Na4Dy3PuS8 | the Alexandria database | GGA-PBE | optimized geometry; calculated density = 4.84 g/cm3
1.0
4.005 2.312 6.665
-4.005 2.312 6.665
0.000 -4.625 6.665
Na Dy Pu S
4 3 1 8
Direct
0.000 0.000 0.000
0.000 0.500 0.500
0.500 0.000 0.500
0.500 0.500 0.000
0.000 0.000 0.500
0.000 0.500 0.000
0.500 0.000 0.000
0.500 0.500 0.500
0.239 0.744 0.744
0.242 0.242 0.242
0.256 0.256 0.761
0.256 0.761 0.256
0.744 0.239 0.744
0.744 0.744 0.239
0.758 0.758 0.758
0.761 0.256 0.256


Number 1: uncorrected formation energy -1.711 eV/atom. Number 2: uncorrected formation energy -1.638 eV/atom. Number 3: uncorrected formation energy -1.739 eV/atom. Number 4: uncorrected formation energy -1.761 eV/atom.